(1)
A crystal of NaPr4I7N2 relaxed with PBEsol, computed with meta-GGA SCAN.

```
56
Lattice="14.026 0.000 0.000 0.000 10.830 0.000 0.000 0.000 11.939" Properties=species:S:1:pos:R:3 pbc="T T T"
Na 1.373 0.570 0.000
Na 5.640 5.985 5.969
Na 8.386 4.845 0.000
Na 12.652 10.260 5.969
Pr 1.207 4.042 3.874
Pr 1.240 4.217 9.567
Pr 1.234 6.760 6.683
Pr 1.468 6.379 0.777
Pr 5.545 0.964 6.746
Pr 5.779 1.345 0.714
Pr 5.773 9.632 3.598
Pr 5.806 9.457 9.843
Pr 8.220 1.373 3.874
Pr 8.253 1.198 9.567
Pr 8.247 9.485 6.683
Pr 8.481 9.866 0.777
Pr 12.558 4.451 6.746
Pr 12.792 4.070 0.714
Pr 12.786 6.613 3.598
Pr 12.819 6.788 9.843
I 0.257 9.244 8.427
I 0.380 1.984 6.395
I 0.741 8.943 4.261
I 2.899 3.387 0.528
I 3.217 6.822 9.920
I 3.283 4.297 6.850
I 3.480 0.798 9.354
I 3.532 6.213 3.385
I 3.730 9.712 0.881
I 3.796 1.407 3.950
I 4.114 8.802 6.497
I 6.271 3.528 10.231
I 6.632 7.399 0.425
I 6.756 3.829 2.458
I 7.270 7.001 8.427
I 7.393 3.431 6.395
I 7.754 7.302 4.261
I 9.912 2.028 0.528
I 10.230 9.423 9.920
I 10.295 1.118 6.850
I 10.493 4.617 9.354
I 10.545 10.032 3.385
I 10.743 6.533 0.881
I 10.809 4.008 3.950
I 11.127 7.443 6.497
I 13.284 1.887 10.231
I 13.645 8.846 0.425
I 13.769 1.586 2.458
N 0.059 5.278 2.246
N 0.053 5.362 11.190
N 6.954 10.693 8.215
N 6.959 10.777 5.221
N 7.066 0.053 11.190
N 7.072 0.137 2.246
N 13.972 5.468 5.221
N 13.967 5.552 8.215
```

Energy   -1906.4 eV/cell
SG   No. 33
ΔE_f (raw)   -23.31 eV/f.u.

---

(2)
A crystal of NaRuI2N relaxed with PBEsol, computed with meta-GGA SCAN.

```
5
Lattice="5.594 0.000 0.000 0.000 5.594 0.000 0.000 0.000 3.701" Properties=species:S:1:pos:R:3 pbc="T T T"
Na 0.000 0.000 0.000
Ru 2.797 2.797 1.851
I 0.000 2.797 1.851
I 2.797 0.000 1.851
N 2.797 2.797 0.000
```

Energy   -122.7 eV/cell
SG   No. 123
ΔE_f (raw)   -0.86 eV/f.u.

---

(3)
A crystal of NaSIN2 relaxed with PBEsol, computed with meta-GGA SCAN.

```
5
Lattice="3.728 0.000 0.000 0.000 3.728 0.000 0.000 0.000 7.012" Properties=species:S:1:pos:R:3 pbc="T T T"
Na 0.000 0.000 0.000
S 1.864 1.864 3.506
I 1.864 1.864 0.000
N 0.000 1.864 3.506
N 1.864 0.000 3.506
```

Energy   -63.1 eV/cell
SG   No. 123
ΔE_f (raw)   6.10 eV/f.u.

---

(4)
A crystal of NaSI2N relaxed with PBEsol, computed with meta-GGA SCAN.

```
5
Lattice="6.069 0.000 0.000 0.000 6.069 0.000 0.000 0.000 3.413" Properties=species:S:1:pos:R:3 pbc="T T T"
Na 0.000 0.000 0.000
S 3.034 3.034 1.707
I 0.000 3.034 1.707
I 3.034 0.000 1.707
N 3.034 3.034 0.000
```

Energy   -95.2 eV/cell
SG   No. 123
ΔE_f (raw)   1.42 eV/f.u.

---

- Among the records above, which one has the highest ΔE_f (raw)?
  NaSIN2